Record 1
First-principles (PBE) data for crystalline PuPdPtO6 at its relaxed geometry, as listed in Alexandria via LeMat-Bulk.

Lattice parameters (Å, degrees): 5.2974 5.2974 9.2788 90.00 90.00 120.00
Last column: nearest neighbours and their distance in Å.
Fractional coordinates of all 18 atoms:
Pu 0.3333 0.6667 0.2500  6 O 2.11
Pu 0.6667 0.3333 0.7500  6 O 2.11
Pd 0.0000 0.0000 0.0000  6 O 2.16
Pd 0.0000 0.0000 0.5000  6 O 2.16
Pt 0.3333 0.6667 0.7500  6 O 2.05
Pt 0.6667 0.3333 0.2500  6 O 2.05
O 0.0088 0.3462 0.6276  1 Pt 2.05, 1 Pu 2.11, 1 Pd 2.16
O 0.0088 0.6626 0.8724  1 Pt 2.05, 1 Pu 2.11, 1 Pd 2.16
O 0.3374 0.3462 0.8724  1 Pt 2.05, 1 Pu 2.11, 1 Pd 2.16
O 0.3374 0.9912 0.6276  1 Pt 2.05, 1 Pu 2.11, 1 Pd 2.16
O 0.3462 0.0088 0.1276  1 Pt 2.05, 1 Pu 2.11, 1 Pd 2.16
O 0.3462 0.3374 0.3724  1 Pt 2.05, 1 Pu 2.11, 1 Pd 2.16
O 0.6538 0.6626 0.6276  1 Pt 2.05, 1 Pu 2.11, 1 Pd 2.16
O 0.6538 0.9912 0.8724  1 Pt 2.05, 1 Pu 2.11, 1 Pd 2.16
O 0.6626 0.0088 0.3724  1 Pt 2.05, 1 Pu 2.11, 1 Pd 2.16
O 0.6626 0.6538 0.1276  1 Pt 2.05, 1 Pu 2.11, 1 Pd 2.16
O 0.9912 0.3374 0.1276  1 Pt 2.05, 1 Pu 2.11, 1 Pd 2.16
O 0.9912 0.6538 0.3724  1 Pt 2.05, 1 Pu 2.11, 1 Pd 2.16

ΔE_f (raw)   -1251 meV per atom
Fermi-level density of states   19.6 states/eV per cell
SG   No. 163
Size of the total moment   6.22 μB per cell
Density   9.45 g cm⁻³

Record 2
First-principles (PBE) data for crystalline PdRuPtO2 at its relaxed geometry, as listed in Alexandria via LeMat-Bulk.

Lattice parameters (Å, degrees): 3.8138 3.8138 5.4090 90.00 90.00 90.00
Last column: nearest neighbours and their distance in Å.
Fractional coordinates of all 5 atoms:
Pd 0.0000 0.0000 0.0000  4 Ru 2.70
Ru 0.5000 0.5000 0.0000  4 Pd 2.70, 2 Pt 2.70
Pt 0.5000 0.5000 0.5000  4 O 1.91
O 0.0000 0.5000 0.5000  2 Pt 1.91
O 0.5000 0.0000 0.5000  2 Pt 1.91

ΔE_f (raw)   718 meV per atom
Fermi-level density of states   5.0 states/eV per cell
SG   No. 123
Size of the total moment   3.72 μB per cell
Density   9.17 g cm⁻³

Record 3
First-principles (PBE) data for crystalline SrPdPt2O4 at its relaxed geometry, as listed in Alexandria via LeMat-Bulk.

Lattice parameters (Å, degrees): 5.7722 5.7722 5.7722 112.28 110.30 105.90
Last column: nearest neighbours and their distance in Å.
Fractional coordinates of all 8 atoms:
Sr 0.0000 0.0000 0.0000  4 O 2.46
Pd 0.5000 0.5000 0.0000  4 O 2.02
Pt 0.1819 0.6819 0.5000  2 O 1.90
Pt 0.8181 0.3181 0.5000  2 O 1.90
O 0.0781 0.2911 0.7870  1 Pt 1.90, 1 Pd 2.02
O 0.4959 0.7089 0.7870  1 Pt 1.90, 1 Pd 2.02
O 0.5041 0.2911 0.2130  1 Pt 1.90, 1 Pd 2.02
O 0.9219 0.7089 0.2130  1 Pt 1.90, 1 Pd 2.02

ΔE_f (raw)   -787 meV per atom
Fermi-level density of states   7.2 states/eV per cell
SG   No. 71
Size of the total moment   0.97 μB per cell
Density   7.29 g cm⁻³

Record 4
First-principles (PBE) data for crystalline SrPdPtO6 at its relaxed geometry, as listed in Alexandria via LeMat-Bulk.

Lattice parameters (Å, degrees): 5.2909 5.2909 5.4010 90.00 90.00 120.00
Last column: nearest neighbours and their distance in Å.
Fractional coordinates of all 9 atoms:
Sr 0.0000 0.0000 0.0000  6 O 2.53
Pd 0.6667 0.3333 0.5000  6 O 2.01
Pt 0.3333 0.6667 0.5000  6 O 1.99
O 0.0040 0.3728 0.2971  1 Pt 1.99, 1 Pd 2.01
O 0.0040 0.6311 0.7029  1 Pt 1.99, 1 Pd 2.01
O 0.3689 0.3728 0.7029  1 Pt 1.99, 1 Pd 2.01
O 0.3689 0.9960 0.2971  1 Pt 1.99, 1 Pd 2.01
O 0.6272 0.6311 0.2971  1 Pt 1.99, 1 Pd 2.01
O 0.6272 0.9960 0.7029  1 Pt 1.99, 1 Pd 2.01

ΔE_f (raw)   -933 meV per atom
Fermi-level density of states   5.3 states/eV per cell
SG   No. 149
Size of the total moment   2.02 μB per cell
Density   6.15 g cm⁻³

Record 5
First-principles (PBE) data for crystalline Tl2PdPtO4 at its relaxed geometry, as listed in Alexandria via LeMat-Bulk.

Lattice parameters (Å, degrees): 5.6159 5.6159 5.6159 111.56 111.56 105.37
Last column: nearest neighbours and their distance in Å.
Fractional coordinates of all 8 atoms:
Tl 0.0000 0.0000 0.0000  4 O 2.80
Tl 0.7500 0.2500 0.5000  4 O 2.29
Pd 0.2500 0.7500 0.5000  4 O 2.17
Pt 0.5000 0.5000 0.0000  4 O 2.00
O 0.2133 0.4067 0.5969  1 Pt 2.00, 1 Pd 2.17
O 0.3836 0.7867 0.1934  1 Pt 2.00, 1 Pd 2.17
O 0.5933 0.1902 0.8066  1 Pt 2.00, 1 Pd 2.17
O 0.8098 0.6165 0.4031  1 Pt 2.00, 1 Pd 2.17

ΔE_f (raw)   -339 meV per atom
Fermi-level density of states   4.4 states/eV per cell
SG   No. 82
Size of the total moment   1.49 μB per cell
Density   9.47 g cm⁻³

Record 6
First-principles (PBE) data for crystalline TlPdPtO6 at its relaxed geometry, as listed in Alexandria via LeMat-Bulk.

Lattice parameters (Å, degrees): 5.3051 5.3051 9.4987 90.00 90.00 120.00
Last column: nearest neighbours and their distance in Å.
Fractional coordinates of all 18 atoms:
Tl 0.0000 0.0000 0.0000  6 O 2.33
Tl 0.0000 0.0000 0.5000  6 O 2.33
Pd 0.3333 0.6667 0.2500  6 O 2.02
Pd 0.6667 0.3333 0.7500  6 O 2.02
Pt 0.3333 0.6667 0.7500  6 O 2.00
Pt 0.6667 0.3333 0.2500  6 O 2.00
O 0.0025 0.3692 0.6346  1 Pt 2.00, 1 Pd 2.02
O 0.0025 0.6333 0.8654  1 Pt 2.00, 1 Pd 2.02
O 0.3667 0.3692 0.8654  1 Pt 2.00, 1 Pd 2.02
O 0.3667 0.9975 0.6346  1 Pt 2.00, 1 Pd 2.02
O 0.3692 0.0025 0.1346  1 Pt 2.00, 1 Pd 2.02
O 0.3692 0.3667 0.3654  1 Pt 2.00, 1 Pd 2.02
O 0.6308 0.6333 0.6346  1 Pt 2.00, 1 Pd 2.02
O 0.6308 0.9975 0.8654  1 Pt 2.00, 1 Pd 2.02
O 0.6333 0.0025 0.3654  1 Pt 2.00, 1 Pd 2.02
O 0.6333 0.6308 0.1346  1 Pt 2.00, 1 Pd 2.02
O 0.9975 0.3667 0.1346  1 Pt 2.00, 1 Pd 2.02
O 0.9975 0.6308 0.3654  1 Pt 2.00, 1 Pd 2.02

ΔE_f (raw)   -413 meV per atom
Fermi-level density of states   14.7 states/eV per cell
SG   No. 163
Size of the total moment   1.74 μB per cell
Density   8.63 g cm⁻³

One value per record, in order, for E_tot: -7.3971, -5.3675, -5.6360, -5.6733, -4.8140, -5.2300 eV per atom.